VASP calculation (PBE) on a geometry-optimized Nb3SnH structure.

Space-group type: Ama2
E, eV per atom: -7.77

a = 5.3735 Å, b = 5.3958 Å, c = 5.3958 Å
α = 90.15°, β = 90.00°, γ = 90.00°
Closest atoms and distances in Å follow each position.
Fractional coordinates of all 10 atoms:
Nb1 0.0000 0.0000 0.0000  2 H 1.95
Nb2 0.2500 0.4814 0.2459  1 H 1.95
Nb3 0.2500 0.4831 0.7384  1 H 1.94
Nb4 0.5000 0.0000 0.0000  2 H 1.95
Nb5 0.7500 0.2459 0.4814  1 H 1.95
Nb6 0.7500 0.7384 0.4831  1 H 1.94
Sn1 0.2500 0.9883 0.4940  12 Nb 2.98-3.04, 4 H 2.99-3.02
Sn2 0.7500 0.4940 0.9883  12 Nb 2.98-3.04, 4 H 2.99-3.02
H1 0.2500 0.7392 0.9928  4 Nb 1.94-1.95
H2 0.7500 0.9928 0.7392  4 Nb 1.94-1.95